# Cs2Rb4Br3Cl2 (PBE-GGA, optimized geometry)
# * raw formation energy: -1.5581 eV per atom
# * space group: No. 139
# * total moment: 0.000 μB per atom
data_Cs2Rb4Br3Cl2
_space_group_name_H-M_alt 'P 1'
_space_group_IT_number 1
_space_group_name_Hall 'P 1'
_cell_length_a 6.2854
_cell_length_b 6.2854
_cell_length_c 14.5993
_cell_angle_alpha 102.43
_cell_angle_beta 102.43
_cell_angle_gamma 90.00
loop_
_atom_site_label
_atom_site_fract_x
_atom_site_fract_y
_atom_site_fract_z
Rb1 0.5833 0.0833 0.1666
Rb2 0.9167 0.4167 0.8334
Rb3 0.4167 0.9167 0.8334
Rb4 0.0833 0.5833 0.1666
Br1 0.1525 0.1525 0.3051
Br2 0.0000 0.0000 0.0000
Br3 0.8475 0.8475 0.6949
Cs1 0.2818 0.2818 0.5636
Cs2 0.7182 0.7182 0.4364
Cl1 0.5945 0.5945 0.1891
Cl2 0.4055 0.4055 0.8109

***

# PmSm12Sc7 (PBE-GGA, optimized geometry)
# * energy relative to the elements: 162.7 meV/atom
# * space group: No. 148
# * total moment: 0.000 μB per atom
data_PmSm12Sc7
_space_group_name_H-M_alt 'P 1'
_space_group_IT_number 1
_space_group_name_Hall 'P 1'
_cell_length_a 9.1451
_cell_length_b 9.1451
_cell_length_c 9.1451
_cell_angle_alpha 108.20
_cell_angle_beta 108.20
_cell_angle_gamma 108.20
loop_
_atom_site_label
_atom_site_fract_x
_atom_site_fract_y
_atom_site_fract_z
Sc1 0.3160 0.9999 0.8976
Sc2 0.5000 0.5000 0.5000
Sc3 0.9999 0.8976 0.3160
Sc4 0.0001 0.1024 0.6840
Sc5 0.8976 0.3160 0.9999
Sc6 0.6840 0.0001 0.1024
Sc7 0.1024 0.6840 0.0001
Sm1 0.2980 0.4095 0.0616
Sm2 0.4095 0.0616 0.2980
Sm3 0.2034 0.6743 0.3746
Sm4 0.5905 0.9384 0.7020
Sm5 0.9384 0.7020 0.5905
Sm6 0.7966 0.3257 0.6254
Sm7 0.6254 0.7966 0.3257
Sm8 0.7020 0.5905 0.9384
Sm9 0.3746 0.2034 0.6743
Sm10 0.0616 0.2980 0.4095
Sm11 0.6743 0.3746 0.2034
Sm12 0.3257 0.6254 0.7966
Pm1 0.0000 0.0000 0.0000

***

# ReMo2Ru5 (PBE-GGA, optimized geometry)
# * energy relative to the elements: -34.9 meV/atom
# * space group: No. 42
# * total moment: 0.000 μB per atom
data_ReMo2Ru5
_space_group_name_H-M_alt 'P 1'
_space_group_IT_number 1
_space_group_name_Hall 'P 1'
_cell_length_a 5.5031
_cell_length_b 5.5033
_cell_length_c 5.1926
_cell_angle_alpha 105.62
_cell_angle_beta 105.61
_cell_angle_gamma 119.48
loop_
_atom_site_label
_atom_site_fract_x
_atom_site_fract_y
_atom_site_fract_z
Ru1 0.3179 0.2380 0.0000
Ru2 0.7408 0.8149 0.5000
Ru3 0.3168 0.7383 0.0000
Ru4 0.2408 0.3149 0.5000
Ru5 0.8175 0.2389 0.0000
Re1 0.8154 0.7402 0.0000
Mo1 0.2391 0.8211 0.5045
Mo2 0.7346 0.3166 0.4955

***

# LiCaDyAl (PBE-GGA, optimized geometry)
# * energy relative to the elements: -150.1 meV/atom
# * space group: No. 216
# * total moment: 0.000 μB per atom
data_LiCaDyAl
_space_group_name_H-M_alt 'P 1'
_space_group_IT_number 1
_space_group_name_Hall 'P 1'
_cell_length_a 5.2453
_cell_length_b 5.2453
_cell_length_c 5.2453
_cell_angle_alpha 60.00
_cell_angle_beta 60.00
_cell_angle_gamma 60.00
loop_
_atom_site_label
_atom_site_fract_x
_atom_site_fract_y
_atom_site_fract_z
Dy1 0.5000 0.5000 0.5000
Ca1 0.0000 0.0000 0.0000
Li1 0.7500 0.7500 0.7500
Al1 0.2500 0.2500 0.2500

***

# PrY3Ga4 (PBE-GGA, optimized geometry)
# * energy relative to the elements: -585.2 meV/atom
# * space group: No. 123
# * total moment: 0.000 μB per atom
data_PrY3Ga4
_space_group_name_H-M_alt 'P 1'
_space_group_IT_number 1
_space_group_name_Hall 'P 1'
_cell_length_a 5.1155
_cell_length_b 7.2294
_cell_length_c 10.2333
_cell_angle_alpha 90.00
_cell_angle_beta 90.00
_cell_angle_gamma 90.00
loop_
_atom_site_label
_atom_site_fract_x
_atom_site_fract_y
_atom_site_fract_z
Ga1 0.9998 0.7586 0.2500
Ga2 0.5000 0.7586 0.5000
Ga3 0.5000 0.7586 0.0000
Ga4 0.0002 0.7586 0.7500
Ga5 0.0002 0.2414 0.7500
Ga6 0.5000 0.2414 0.0000
Ga7 0.5000 0.2414 0.5000
Ga8 0.9998 0.2414 0.2500
Y1 0.4998 0.0000 0.2500
Y2 0.0000 0.0000 0.0000
Y3 0.4998 0.5000 0.2500
Y4 0.5002 0.5000 0.7500
Y5 0.0000 0.0000 0.5000
Y6 0.5002 0.0000 0.7500
Pr1 0.0000 0.5000 0.5000
Pr2 0.0000 0.5000 0.0000

***

# Ac8TlTe3Pb4 (PBE-GGA, optimized geometry)
# * raw formation energy: -0.8606 eV per atom
# * space group: No. 166
# * total moment: 0.000 μB per atom
data_Ac8TlTe3Pb4
_space_group_name_H-M_alt 'P 1'
_space_group_IT_number 1
_space_group_name_Hall 'P 1'
_cell_length_a 9.8023
_cell_length_b 9.5330
_cell_length_c 9.8018
_cell_angle_alpha 120.94
_cell_angle_beta 120.00
_cell_angle_gamma 90.00
loop_
_atom_site_label
_atom_site_fract_x
_atom_site_fract_y
_atom_site_fract_z
Ac1 0.7533 0.7598 0.5065
Ac2 0.7481 0.7547 0.0014
Ac3 0.2533 0.7547 0.5066
Ac4 0.2533 0.7547 0.0014
Ac5 0.7467 0.2453 0.9986
Ac6 0.7467 0.2453 0.4934
Ac7 0.2519 0.2453 0.9986
Ac8 0.2467 0.2402 0.4935
Te1 0.5000 0.5000 0.0000
Te2 0.0000 0.5000 0.5000
Te3 0.5000 0.5000 0.5000
Pb1 0.5000 0.0000 0.5000
Pb2 0.0000 0.0000 0.5000
Pb3 0.0000 0.0000 0.0000
Pb4 0.5000 0.0000 0.0000
Tl1 0.0000 0.5000 0.0000